[1]
PBE-GGA Fe2SiRu, relaxed; theoretical density = 7.473 g/cm3; formation energy (no corrections) = 0.2350 eV per atom; energy = -7.671 eV/atom
1.0
-1.3037 -2.1993 -2.3702
-1.2527 -2.0124 2.5564
-8.8075 2.4600 -0.0022
Fe Si Ru
4 2 2
Cartesian
-3.1788 -0.9699 1.2447
-7.5941 0.2178 0.1289
-8.8128 -1.7925 0.1006
-3.1423 -0.9589 -1.1061
-5.6693 -0.8292 1.3237
-1.2782 -2.1059 0.0931
-5.6947 -0.9226 -1.1396
0.0000 0.0000 0.0000

[2]
PBE-GGA Fe2SiRu, relaxed; theoretical density = 8.460 g/cm3; formation energy (no corrections) = -0.0220 eV per atom; energy = -7.928 eV/atom
1.0
-7.1067 -0.0374 3.7786
-5.5239 -0.4381 5.8377
-5.9864 2.0066 4.9921
Ru Si Fe
1 1 2
Cartesian
-4.6543 0.3828 3.6521
-13.9628 1.1483 10.9562
-9.2243 0.7586 7.2380
-0.0843 0.0069 0.0661

[3]
PBE-GGA FeSiRu3, relaxed; theoretical density = 7.715 g/cm3; polymorph energy (0 for the lowest one) = 247 meV/atom; formation energy (no corrections) = 1.3684 eV per atom; energy = -6.974 eV/atom
1.0
-4.2265 0.3184 1.0547
0.6978 -2.4624 3.5393
0.8526 3.5934 2.3320
Ru Si Fe
3 1 1
Cartesian
0.4263 1.7967 1.1660
0.3489 -1.2312 1.7697
-2.1133 0.1592 0.5274
-1.3381 0.7247 3.4630
0.0000 0.0000 0.0000

[4]
PBE-GGA FeSiRu4, relaxed; theoretical density = 8.972 g/cm3; formation energy (no corrections) = 0.6471 eV per atom; energy = -7.851 eV/atom
1.0
4.3392 -0.9439 2.3769
-0.0443 -1.9792 4.6314
1.4939 -4.7559 0.7207
Fe Ru Si
1 4 1
Cartesian
0.0000 0.0000 0.0000
2.1503 -3.8692 5.2111
4.3371 -3.3527 4.0864
2.9177 -5.2544 3.2602
2.1724 -2.8818 2.9006
4.3416 -5.7593 5.7968

| no. | magnetization (μB per cell) | D(E_F) (states/eV/f.u.) |
| --- | --- | --- |
| 1 | 9.78 | 4.6 |
| 2 | 1.77 | 4.4 |
| 3 | 0.00 | 7.8 |
| 4 | 4.70 | 8.4 |